1.
DFT (PBE-GGA) results for a relaxed Er3Tm4Al crystal.

Lattice parameters (Å, degrees): 3.4819 3.4819 18.8004 90.00 90.00 90.00
Atoms (fractional coordinates):
Tm: 0.0000 0.0000 0.8989
Tm: 0.0000 0.0000 0.1011
Tm: 0.0000 0.0000 0.3673
Tm: 0.0000 0.0000 0.6327
Al: 0.5000 0.5000 0.0000
Er: 0.5000 0.5000 0.2356
Er: 0.5000 0.5000 0.5000
Er: 0.5000 0.5000 0.7644

Output
- uncorrected energy (eV per atom) = -4.500
- DOS(E_F) (states/eV per cell) = 9.468
- ΔH_f (0 K) (eV per atom) = -0.085
- magnetization (Bohr magnetons per cell) = 0.0

***

2.
DFT (PBE-GGA) results for a relaxed Er7TmAl5 crystal.

Lattice parameters (Å, degrees): 6.0571 7.9437 7.9437 79.75 67.59 67.59
Atoms (fractional coordinates):
Er: 0.6690 0.3310 0.3310
Er: 0.3395 0.6605 0.6605
Er: 0.9906 0.3462 0.6727
Er: 0.9906 0.6727 0.3462
Er: 0.2722 0.2278 0.2278
Er: 0.5058 0.8013 0.1870
Er: 0.5058 0.1870 0.8013
Tm: 0.0127 0.9873 0.9873
Al: 0.4903 0.9967 0.5155
Al: 0.9975 0.9967 0.5155
Al: 0.4903 0.5155 0.9967
Al: 0.9975 0.5155 0.9967
Al: 0.7382 0.7618 0.7618

Output
- uncorrected energy (eV per atom) = -4.463
- DOS(E_F) (states/eV per cell) = 11.193
- ΔH_f (0 K) (eV per atom) = -0.222
- magnetization (Bohr magnetons per cell) = 0.0

***

3.
DFT (PBE-GGA) results for a relaxed Er2Tm5Al4 crystal.

Lattice parameters (Å, degrees): 3.5167 8.5017 10.9802 112.78 99.21 90.00
Atoms (fractional coordinates):
Er: 0.4213 0.4213 0.8427
Er: 0.5787 0.5787 0.1573
Tm: 0.1567 0.3674 0.3134
Tm: 0.8433 0.6326 0.6866
Tm: 0.1567 0.9461 0.3134
Tm: 0.5000 0.0000 0.0000
Tm: 0.8433 0.0539 0.6866
Al: 0.7208 0.7208 0.4416
Al: 0.0000 0.2744 0.0000
Al: 0.2792 0.2792 0.5584
Al: 0.0000 0.7256 0.0000

Output
- uncorrected energy (eV per atom) = -4.273
- DOS(E_F) (states/eV per cell) = 11.577
- ΔH_f (0 K) (eV per atom) = -0.049
- magnetization (Bohr magnetons per cell) = 0.0

***

4.
DFT (PBE-GGA) results for a relaxed Er6Tm3Al crystal.

Lattice parameters (Å, degrees): 8.5415 8.5415 8.5415 101.27 101.27 101.27
Atoms (fractional coordinates):
Er: 0.3398 0.0786 0.3386
Er: 0.9214 0.6614 0.6602
Er: 0.5003 0.7523 0.2477
Er: 0.6614 0.6602 0.9214
Er: 0.2477 0.5003 0.7523
Er: 0.2477 0.7523 0.4997
Er: 0.7523 0.2477 0.5003
Er: 0.7523 0.4997 0.2477
Er: 0.3386 0.3398 0.0786
Er: 0.4997 0.2477 0.7523
Er: 0.0786 0.3386 0.3398
Er: 0.6602 0.9214 0.6614
Tm: 0.3178 0.9108 0.9108
Tm: 0.9108 0.9108 0.3178
Tm: 0.0892 0.6822 0.0892
Tm: 0.9108 0.3178 0.9108
Tm: 0.0892 0.0892 0.6822
Tm: 0.6822 0.0892 0.0892
Al: 0.0000 0.0000 0.0000
Al: 0.5000 0.5000 0.5000

Output
- uncorrected energy (eV per atom) = -4.417
- DOS(E_F) (states/eV per cell) = 34.475
- ΔH_f (0 K) (eV per atom) = 0.037
- magnetization (Bohr magnetons per cell) = 0.0

***

5.
DFT (PBE-GGA) results for a relaxed Er3Tm2Al4 crystal.

Lattice parameters (Å, degrees): 5.0570 5.0568 9.6001 90.00 90.00 120.00
Atoms (fractional coordinates):
Er: 0.3333 0.6665 0.5805
Er: 0.0000 0.0000 0.0000
Er: 0.6667 0.3335 0.4195
Tm: 0.3334 0.6668 0.2191
Tm: 0.6666 0.3332 0.7809
Al: 0.6667 0.3334 0.0987
Al: 0.9999 0.9997 0.6505
Al: 0.0001 0.0003 0.3495
Al: 0.3333 0.6666 0.9013

Output
- uncorrected energy (eV per atom) = -4.521
- DOS(E_F) (states/eV per cell) = 5.275
- ΔH_f (0 K) (eV per atom) = -0.343
- magnetization (Bohr magnetons per cell) = 0.0

***

6.
DFT (PBE-GGA) results for a relaxed ErTmAl crystal.

Lattice parameters (Å, degrees): 4.4795 4.4795 8.0101 89.94 90.06 90.00
Last column: magnetic moment on the atom in μB.
Atoms (fractional coordinates):
Er: 0.7500 0.7500 0.0000  0.09
Er: 0.2500 0.2500 0.0000  0.09
Tm: 0.7508 0.2492 0.3558  0.06
Tm: 0.2492 0.7508 0.6442  0.06
Al: 0.2507 0.7493 0.2671  0.00
Al: 0.7493 0.2507 0.7329  0.00

Output
- uncorrected energy (eV per atom) = -4.410
- DOS(E_F) (states/eV per cell) = 8.944
- ΔH_f (0 K) (eV per atom) = -0.151
- magnetization (Bohr magnetons per cell) = 0.4

***

7.
DFT (PBE-GGA) results for a relaxed ErTm3Al2 crystal.

Lattice parameters (Å, degrees): 4.7357 8.7299 8.8100 119.70 105.59 90.00
Atoms (fractional coordinates):
Er: 0.0000 0.5000 0.0000
Er: 0.0000 0.0000 0.0000
Tm: 0.5000 0.2500 0.0000
Tm: 0.5000 0.7500 0.0000
Tm: 0.8265 0.0765 0.6529
Tm: 0.1735 0.4235 0.3471
Tm: 0.1735 0.9235 0.3471
Tm: 0.8265 0.5765 0.6529
Al: 0.3418 0.3419 0.6837
Al: 0.6581 0.1581 0.3163
Al: 0.3419 0.8419 0.6837
Al: 0.6582 0.6581 0.3163

Output
- uncorrected energy (eV per atom) = -4.441
- DOS(E_F) (states/eV per cell) = 10.675
- ΔH_f (0 K) (eV per atom) = -0.198
- magnetization (Bohr magnetons per cell) = 0.0

***

8.
DFT (PBE-GGA) results for a relaxed Er2Tm3Al2 crystal.

Lattice parameters (Å, degrees): 4.5774 3.3118 12.1113 89.98 79.10 90.00
Atoms (fractional coordinates):
Er: 0.7089 0.5005 0.5833
Er: 0.2911 0.4995 0.4167
Tm: 0.8644 0.9998 0.2678
Tm: 0.0000 0.0000 0.0000
Tm: 0.1356 0.0002 0.7322
Al: 0.5678 0.5001 0.8652
Al: 0.4322 0.4999 0.1348

Output
- uncorrected energy (eV per atom) = -4.339
- DOS(E_F) (states/eV per cell) = 7.634
- ΔH_f (0 K) (eV per atom) = -0.050
- magnetization (Bohr magnetons per cell) = 0.0